{"formula": "PdSe", "functional": "PBE", "state": "optimized geometry", "spacegroup": "F-43m", "final_energy_ev_per_atom": -4.45, "cell": [[0.000, 2.840, 2.840], [2.840, 0.000, 2.840], [2.840, 2.840, 0.000]], "species": ["Pd", "Se"], "frac_coords": [[0.000, 0.000, 0.000], [0.250, 0.250, 0.250]]}